Compound: TlZnCdSb2
Source: the Alexandria database
Functional: GGA-PBE
Structure: optimized geometry

POSCAR file:
```
TlZnCdSb2
1.0
6.987 -2.202 0.000
6.987 2.202 0.000
-6.892 0.000 9.262
Tl Zn Cd Sb
2 2 2 4
Cartesian
1.138 0.000 1.380
5.946 0.000 7.882
-4.039 0.000 6.767
11.122 0.000 2.495
1.167 0.000 5.715
5.916 0.000 3.547
-1.753 0.000 5.335
4.578 0.000 0.942
2.506 0.000 8.320
8.837 0.000 3.927
```

Output
Calculated total energy = -2.5366 eV per atom
V = 285.1 Å³/cell
Formation energy without anion corrections = 2.26 kJ per mole of atoms
Spin magnetization = 0.0 μB per cell